[1]
Compound: Tm10Sn4C3
Source: the Alexandria database
Functional: PBE
Structure: optimized geometry

The value obtained for the total magnetization is 0.00 μB per cell. The value obtained for the formation energy is -0.676 eV/atom. The calculation puts the density of states at the Fermi level at 5.6 states/eV/cell.

Cell lengths 4.7809, 4.7809, 17.7068 Å; angles 97.76, 97.76, 90.00 degrees
Fractional positions:
C  0.1394  0.1394  0.2788
C  0.0000  0.0000  0.0000
C  0.8606  0.8606  0.7212
Tm  0.6381  0.1381  0.2763
Tm  0.5000  0.0000  0.0000
Tm  0.3619  0.8619  0.7237
Tm  0.0693  0.0693  0.1386
Tm  0.1381  0.6381  0.2763
Tm  0.0000  0.5000  0.0000
Tm  0.8619  0.3619  0.7237
Tm  0.2092  0.2092  0.4184
Tm  0.9307  0.9307  0.8614
Tm  0.7908  0.7908  0.5816
Sn  0.4314  0.4314  0.8628
Sn  0.5686  0.5686  0.1372
Sn  0.2996  0.2996  0.5993
Sn  0.7004  0.7004  0.4007

---

[2]
Compound: N
Source: the Alexandria database
Functional: PBE
Structure: optimized geometry

The value obtained for the total magnetization is 0.00 μB per cell. The uncorrected formation energy is 1022 meV/atom. The calculation puts the density of states at the Fermi level at 1.0 states/eV/cell. Its energy above the most stable polymorph in this dataset is 1022 meV per atom.

Cell lengths 2.1768, 3.3591, 7.1298 Å; angles 90.00, 90.00, 90.00 degrees
Fractional positions:
N  0.4801  0.1443  0.2500
N  0.5199  0.8557  0.7500
N  0.0199  0.6443  0.7500
N  0.9801  0.3557  0.2500

---

[3]
Compound: ScHgI3
Source: the Alexandria database
Functional: PBE
Structure: optimized geometry

The value obtained for the total magnetization is 0.00 μB per cell. The uncorrected formation energy is -747 meV/atom. The calculation puts the density of states at the Fermi level at 0.0 states/eV/cell. Its energy above the most stable polymorph in this dataset is 225 meV per atom.

Cell lengths 7.0547, 7.0547, 7.0547 Å; angles 104.10, 104.10, 104.10 degrees
Fractional positions:
I  0.9429  0.9429  0.3428
I  0.3428  0.9429  0.9429
I  0.9429  0.3428  0.9429
Sc  0.9925  0.9925  0.9925
Hg  0.6539  0.6539  0.6539